The following is a GGA-PBEsol calculation of TcNi2As after structural relaxation, from Alexandria.

Unit cell a=5.8480 b=5.8480 c=5.8480 alpha=90.00 beta=90.00 gamma=90.00
Last column: nearest neighbours and their distance in Å.
Space group Fm-3m (No. 225)
Unique sites:
Tc1 0.0000 0.0000 0.0000 [4 per cell]  8 Ni 2.53
Ni1 0.2500 0.2500 0.2500 [8 per cell]  4 As 2.53, 4 Tc 2.53
As1 0.0000 0.0000 0.5000 [4 per cell]  8 Ni 2.53

Summary:
* DOS(E_F): 1.002 states/eV/atom
* magnetic moment: 1.7 μB per formula unit
* V: 200.0 Å³/cell
* total energy: -110.37 eV per cell
* calculated formation energy: 1.10 eV/f.u.



The following is a GGA-PBEsol calculation of Tc2NiAs after structural relaxation, from Alexandria.

Unit cell a=8.3276 b=2.7846 c=4.7155 alpha=90.00 beta=102.17 gamma=90.00
Last column: nearest neighbours and their distance in Å.
Space group C2/m (No. 12)
Unique sites:
Tc1 0.2483 0.0000 0.2651 [4 per cell]  3 Ni 2.54-2.57, 3 As 2.59-2.66, 4 Tc 2.61-2.78
Ni1 0.0000 0.0000 0.5000 [2 per cell]  6 Tc 2.54-2.57, 4 As 2.74, 2 Ni 2.78
As1 0.0000 0.5000 0.0000 [2 per cell]  6 Tc 2.59-2.66, 4 Ni 2.74, 2 As 2.78

Summary:
* DOS(E_F): 1.027 states/eV/atom
* magnetic moment: 0.0 μB per formula unit
* V: 106.9 Å³/cell
* total energy: -66.70 eV per cell
* calculated formation energy: 0.44 eV/f.u.
* energy above the most stable polymorph in this dataset: 0.130 eV per atom



The following is a GGA-PBEsol calculation of Tc2NiAs after structural relaxation, from Alexandria.

Unit cell a=3.9240 b=2.7997 c=9.5642 alpha=90.00 beta=90.00 gamma=90.00
Last column: nearest neighbours and their distance in Å.
Space group Amm2 (No. 38)
Unique sites:
Tc1 0.0000 0.0000 0.0000 [2 per cell]  3 As 2.45-2.72, 4 Ni 2.69, 4 Tc 2.72
Tc2 0.5000 0.0000 0.3678 [2 per cell]  3 Ni 2.46-2.71, 4 As 2.69, 4 Tc 2.72
Ni1 0.5000 0.0000 0.6250 [2 per cell]  2 As 2.27, 1 Tc 2.46
As1 0.0000 0.0000 0.7436 [2 per cell]  2 Ni 2.27, 1 Tc 2.45

Summary:
* DOS(E_F): 0.780 states/eV/atom
* magnetic moment: 0.0 μB per formula unit
* V: 105.1 Å³/cell
* total energy: -67.75 eV per cell
* calculated formation energy: -0.08 eV/f.u.
* energy above the most stable polymorph in this dataset: 0.000 eV per atom



The following is a GGA-PBEsol calculation of TcNiAs2 after structural relaxation, from Alexandria.

Unit cell a=3.2423 b=4.7942 c=7.4536 alpha=90.00 beta=90.00 gamma=90.00
Last column: nearest neighbours and their distance in Å.
Space group Cmmm (No. 65)
Unique sites:
Tc1 0.0000 0.0000 0.0000 [2 per cell]  4 As 2.52
Ni1 0.0000 0.0000 0.5000 [2 per cell]  4 As 2.42
As1 0.0000 0.5000 0.2584 [4 per cell]  2 Ni 2.42, 2 Tc 2.52

Summary:
* DOS(E_F): 1.014 states/eV/atom
* magnetic moment: 0.0 μB per formula unit
* V: 115.9 Å³/cell
* total energy: -53.19 eV per cell
* calculated formation energy: 1.04 eV/f.u.
* energy above the most stable polymorph in this dataset: 0.169 eV per atom



The following is a GGA-PBEsol calculation of Tc2NiAs after structural relaxation, from Alexandria.

Unit cell a=3.7486 b=3.7486 c=7.4140 alpha=90.00 beta=90.00 gamma=90.00
Last column: nearest neighbours and their distance in Å.
Space group I-4m2 (No. 119)
Unique sites:
Tc1 0.0000 0.0000 0.0000 [2 per cell]  4 Tc 2.64, 4 Ni 2.64, 4 As 2.65
Tc2 0.0000 0.5000 0.2500 [2 per cell]  4 As 2.64, 4 Tc 2.64, 4 Ni 2.65
Ni1 0.0000 0.5000 0.7500 [2 per cell]  4 As 2.64, 8 Tc 2.64-2.65
As1 0.0000 0.0000 0.5000 [2 per cell]  8 Tc 2.64-2.65, 4 Ni 2.64

Summary:
* DOS(E_F): 0.687 states/eV/atom
* magnetic moment: 0.0 μB per formula unit
* V: 104.2 Å³/cell
* total energy: -67.32 eV per cell
* calculated formation energy: 0.14 eV/f.u.
* energy above the most stable polymorph in this dataset: 0.053 eV per atom



The following is a GGA-PBEsol calculation of Ti3NiAs after structural relaxation, from Alexandria.

Unit cell a=4.4337 b=4.4337 c=4.4337 alpha=90.00 beta=90.00 gamma=90.00
Last column: nearest neighbours and their distance in Å.
Space group Pm-3m (No. 221)
Unique sites:
Ti1 0.0000 0.0000 0.5000 [3 per cell]  2 Ni 2.22
Ni1 0.0000 0.0000 0.0000 [1 per cell]  6 Ti 2.22
As1 0.5000 0.5000 0.5000 [1 per cell]  12 Ti 3.14

Summary:
* DOS(E_F): 0.955 states/eV/atom
* magnetic moment: 0.0 μB per formula unit
* V: 87.2 Å³/cell
* total energy: -35.75 eV per cell
* calculated formation energy: 0.48 eV/f.u.



The following is a GGA-PBEsol calculation of TiNiAs3 after structural relaxation, from Alexandria.

Unit cell a=4.7411 b=4.7411 c=4.7411 alpha=90.00 beta=90.00 gamma=90.00
Last column: nearest neighbours and their distance in Å.
Space group Pm-3m (No. 221)
Unique sites:
Ti1 0.0000 0.0000 0.0000 [1 per cell]  6 As 2.37
Ni1 0.5000 0.5000 0.5000 [1 per cell]  12 As 3.35
As1 0.0000 0.0000 0.5000 [3 per cell]  2 Ti 2.37

Summary:
* DOS(E_F): 0.904 states/eV/atom
* magnetic moment: 0.3 μB per formula unit
* V: 106.6 Å³/cell
* total energy: -26.72 eV per cell
* calculated formation energy: 3.08 eV/f.u.



The following is a GGA-PBEsol calculation of TlNiAs2 after structural relaxation, from Alexandria.

Unit cell a=6.6247 b=6.6247 c=6.6247 alpha=90.00 beta=90.00 gamma=90.00
Last column: nearest neighbours and their distance in Å.
Space group Fm-3m (No. 225)
Unique sites:
Tl1 0.0000 0.0000 0.0000 [4 per cell]  8 As 2.87
Ni1 0.0000 0.0000 0.5000 [4 per cell]  8 As 2.87
As1 0.2500 0.2500 0.2500 [8 per cell]  4 Tl 2.87, 4 Ni 2.87

Summary:
* DOS(E_F): 0.850 states/eV/atom
* magnetic moment: 0.0 μB per formula unit
* V: 290.7 Å³/cell
* total energy: -67.92 eV per cell
* calculated formation energy: 2.02 eV/f.u.
* energy above the most stable polymorph in this dataset: 0.614 eV per atom



The following is a GGA-PBEsol calculation of TlNiAs2 after structural relaxation, from Alexandria.

Unit cell a=3.8425 b=3.8425 c=4.9443 alpha=90.00 beta=90.00 gamma=90.00
Last column: nearest neighbours and their distance in Å.
Space group P4/mmm (No. 123)
Unique sites:
Tl1 0.0000 0.0000 0.0000 [1 per cell]  4 Ni 2.72
Ni1 0.5000 0.5000 0.0000 [1 per cell]  4 Tl 2.72
As1 0.0000 0.5000 0.5000 [2 per cell]  4 As 2.72

Summary:
* DOS(E_F): 0.763 states/eV/atom
* magnetic moment: 0.0 μB per formula unit
* V: 73.0 Å³/cell
* total energy: -17.36 eV per cell
* calculated formation energy: 1.64 eV/f.u.
* energy above the most stable polymorph in this dataset: 0.519 eV per atom



The following is a GGA-PBEsol calculation of TlNiAs2 after structural relaxation, from Alexandria.

Unit cell a=6.4598 b=3.7138 c=6.9599 alpha=90.00 beta=107.79 gamma=90.00
Last column: nearest neighbours and their distance in Å.
Space group C2/m (No. 12)
Unique sites:
Tl1 0.0000 0.0000 0.0000 [2 per cell]  6 As 3.15
Ni1 0.0000 0.5000 0.5000 [2 per cell]  6 As 2.37
As1 0.2175 0.0000 0.6523 [4 per cell]  3 Ni 2.37

Summary:
* DOS(E_F): 0.430 states/eV/atom
* magnetic moment: 0.0 μB per formula unit
* V: 159.0 Å³/cell
* total energy: -38.87 eV per cell
* calculated formation energy: -0.44 eV/f.u.
* energy above the most stable polymorph in this dataset: 0.000 eV per atom



The following is a GGA-PBEsol calculation of TlNiAs2 after structural relaxation, from Alexandria.

Unit cell a=3.9252 b=3.8193 c=5.6131 alpha=90.00 beta=92.15 gamma=90.00
Last column: nearest neighbours and their distance in Å.
Space group Pm (No. 6)
Unique sites:
Tl1 0.0000 0.0000 0.0000 [1 per cell]  4 Ni 3.02-3.16, 4 As 3.35-3.37
Ni1 0.4568 0.5000 0.7452 [1 per cell]  4 As 2.33-2.40
As1 0.4981 0.0000 0.4993 [1 per cell]  2 Ni 2.37, 2 As 2.62
As2 0.9544 0.5000 0.5094 [1 per cell]  2 Ni 2.33-2.40

Summary:
* DOS(E_F): 0.371 states/eV/atom
* magnetic moment: 0.0 μB per formula unit
* V: 84.1 Å³/cell
* total energy: -18.56 eV per cell
* calculated formation energy: 0.44 eV/f.u.
* energy above the most stable polymorph in this dataset: 0.219 eV per atom



The following is a GGA-PBEsol calculation of TmNi4As2 after structural relaxation, from Alexandria.

Unit cell a=7.0944 b=7.0944 c=3.7257 alpha=90.00 beta=90.00 gamma=90.00
Last column: nearest neighbours and their distance in Å.
Space group P4_2/mnm (No. 136)
Unique sites:
Tm1 0.0000 0.0000 0.0000 [2 per cell]  6 As 2.83-2.87, 12 Ni 3.11-3.15
Ni1 0.0892 0.3460 0.5000 [8 per cell]  3 As 2.36, 6 Ni 2.53-2.58
As1 0.2177 0.7823 0.5000 [4 per cell]  6 Ni 2.36

Summary:
* DOS(E_F): 0.650 states/eV/atom
* magnetic moment: 0.0 μB per formula unit
* V: 187.5 Å³/cell
* total energy: -88.95 eV per cell
* calculated formation energy: -4.74 eV/f.u.



The following is a GGA-PBEsol calculation of TmNiAs after structural relaxation, from Alexandria.

Unit cell a=3.9906 b=3.9906 c=14.7648 alpha=90.00 beta=90.00 gamma=120.00
Last column: nearest neighbours and their distance in Å.
Space group P6_3/mmc (No. 194)
Unique sites:
Tm1 0.0000 0.0000 0.0000 [2 per cell]  6 As 2.90, 6 Ni 3.06
Tm2 0.0000 0.0000 0.2500 [2 per cell]  6 Ni 2.85, 6 As 3.00
Ni1 0.3333 0.6667 0.1360 [4 per cell]  3 As 2.32
As1 0.3333 0.6667 0.6198 [4 per cell]  3 Ni 2.32

Summary:
* DOS(E_F): 0.274 states/eV/atom
* magnetic moment: 0.0 μB per formula unit
* V: 203.6 Å³/cell
* total energy: -77.78 eV per cell
* calculated formation energy: -3.28 eV/f.u.



The following is a GGA-PBEsol calculation of Tm2NiAs2 after structural relaxation, from Alexandria.

Unit cell a=4.0165 b=4.0165 c=13.7749 alpha=90.00 beta=90.00 gamma=120.00
Last column: nearest neighbours and their distance in Å.
Space group P6_3/mmc (No. 194)
Unique sites:
Tm1 0.3333 0.6667 0.1171 [4 per cell]  6 As 2.82-2.95, 3 Ni 2.95
Ni1 0.0000 0.0000 0.2500 [2 per cell]  3 As 2.32
As1 0.0000 0.0000 0.0000 [2 per cell]  6 Tm 2.82
As2 0.3333 0.6667 0.7500 [2 per cell]  3 Ni 2.32

Summary:
* DOS(E_F): 0.234 states/eV/atom
* magnetic moment: 0.0 μB per formula unit
* V: 192.4 Å³/cell
* total energy: -64.93 eV per cell
* calculated formation energy: -6.30 eV/f.u.